A:
The following is a DFT calculation (PBE-GGA) of NdY3Ho6 after structural relaxation.

abc: 6.1643 10.9793 10.9793
angles: 119.47 90.00 90.00
Closest atoms and distances in Å follow each position.
Sites, in units of the cell vectors:
Nd: 0.1504 0.2079 0.7921  7 Ho 3.26-3.48, 3 Y 3.29-3.51
Nd: 0.6504 0.7921 0.2079  7 Ho 3.26-3.48, 3 Y 3.29-3.51
Ho: 0.5277 0.6174 0.7123  6 Ho 3.40-3.77, 4 Y 3.41-3.57
Ho: 0.1370 0.7157 0.2843  4 Ho 3.25-3.39, 2 Nd 3.33-3.48, 1 Y 3.34
Ho: 0.5277 0.2877 0.3826  6 Ho 3.40-3.77, 4 Y 3.41-3.57
Ho: 0.6370 0.2843 0.7157  4 Ho 3.25-3.39, 2 Nd 3.33-3.48, 1 Y 3.34
Ho: 0.9224 0.0474 0.9526  1 Nd 3.35, 4 Y 3.52-3.62, 2 Ho 3.57
Ho: 0.0277 0.3826 0.2877  6 Ho 3.40-3.77, 4 Y 3.41-3.57
Ho: 0.8666 0.4596 0.0370  5 Ho 3.25-3.41, 2 Nd 3.26-3.45, 2 Y 3.29-3.58
Ho: 0.8666 0.9630 0.5404  5 Ho 3.25-3.41, 2 Nd 3.26-3.45, 2 Y 3.29-3.58
Ho: 0.3666 0.5404 0.9630  5 Ho 3.25-3.41, 2 Nd 3.26-3.45, 2 Y 3.29-3.58
Ho: 0.3666 0.0370 0.4596  5 Ho 3.25-3.41, 2 Nd 3.26-3.45, 2 Y 3.29-3.58
Ho: 0.0277 0.7123 0.6174  6 Ho 3.40-3.77, 4 Y 3.41-3.57
Ho: 0.4224 0.9526 0.0474  1 Nd 3.35, 4 Y 3.52-3.62, 2 Ho 3.57
Y: 0.5682 0.6092 0.3908  5 Ho 3.34-3.57, 1 Nd 3.51, 2 Y 3.69
Y: 0.4594 0.2808 0.0640  6 Ho 3.29-3.62, 1 Nd 3.29
Y: 0.9594 0.7192 0.9360  6 Ho 3.29-3.62, 1 Nd 3.29
Y: 0.4594 0.9360 0.7192  6 Ho 3.29-3.62, 1 Nd 3.29
Y: 0.9594 0.0640 0.2808  6 Ho 3.29-3.62, 1 Nd 3.29
Y: 0.0682 0.3908 0.6092  5 Ho 3.34-3.57, 1 Nd 3.51, 2 Y 3.69

Results
Spin magnetization: 0.00 μB/f.u.
Crystal system: orthorhombic

=====

B:
The following is a DFT calculation (PBE-GGA) of NdY3Ho6 after structural relaxation.

abc: 9.8327 9.8327 6.8778
angles: 44.37 44.37 60.00
Closest atoms and distances in Å follow each position.
Sites, in units of the cell vectors:
Ho: 0.5703 0.2315 0.2944  1 Nd 3.25, 2 Y 3.42-3.43
Ho: 0.4045 0.7321 0.7930  3 Y 3.25-3.45
Ho: 0.0704 0.4045 0.7930  3 Y 3.25-3.45
Ho: 0.2315 0.9037 0.2944  1 Nd 3.25, 2 Y 3.42-3.43
Ho: 0.9037 0.5703 0.2944  1 Nd 3.25, 2 Y 3.42-3.43
Ho: 0.7321 0.0704 0.7930  3 Y 3.25-3.45
Y: 0.3976 0.3976 0.8072  2 Y 2.86-2.91
Y: 0.6430 0.6430 0.0709  1 Y 2.86, 1 Nd 2.98
Y: 0.1478 0.1478 0.5565  1 Nd 2.90, 1 Y 2.91
Nd: 0.8990 0.8990 0.3029  2 Y 2.90-2.98

Results
Spin magnetization: 0.00 μB/f.u.
Crystal system: trigonal

=====

Relative energies, in meV per atom, with the most stable structure set to zero: A 0; B 151.

=====

A:
The following is a DFT calculation (PBE-GGA) of Nd2Y6Ho after structural relaxation.

abc: 6.1175 10.1463 10.1463
angles: 70.24 84.54 84.54
Closest atoms and distances in Å follow each position.
Sites, in units of the cell vectors:
Y: 0.8206 0.0237 0.7466  4 Y 3.32-3.56, 2 Ho 3.36-3.45, 2 Nd 3.48-3.62
Y: 0.8545 0.6548 0.9238  4 Y 3.41-3.56, 3 Nd 3.41-3.55, 1 Ho 3.51
Y: 0.5135 0.3131 0.5911  4 Y 3.32-3.61, 3 Nd 3.44-3.59, 1 Ho 3.51
Y: 0.6794 0.2534 0.9763  4 Y 3.32-3.56, 2 Ho 3.36-3.45, 2 Nd 3.48-3.62
Y: 0.0135 0.5911 0.3131  4 Y 3.32-3.61, 3 Nd 3.44-3.59, 1 Ho 3.51
Y: 0.4865 0.6869 0.4089  4 Y 3.32-3.61, 3 Nd 3.44-3.59, 1 Ho 3.51
Y: 0.3545 0.9238 0.6548  4 Y 3.41-3.56, 3 Nd 3.41-3.55, 1 Ho 3.51
Y: 0.6455 0.0762 0.3452  4 Y 3.41-3.56, 3 Nd 3.41-3.55, 1 Ho 3.51
Y: 0.9865 0.4089 0.6869  4 Y 3.32-3.61, 3 Nd 3.44-3.59, 1 Ho 3.51
Y: 0.1794 0.9763 0.2534  4 Y 3.32-3.56, 2 Ho 3.36-3.45, 2 Nd 3.48-3.62
Y: 0.3206 0.7466 0.0237  4 Y 3.32-3.56, 2 Ho 3.36-3.45, 2 Nd 3.48-3.62
Y: 0.1455 0.3452 0.0762  4 Y 3.41-3.56, 3 Nd 3.41-3.55, 1 Ho 3.51
Ho: 0.2500 0.0986 0.9014  8 Y 3.36-3.51
Ho: 0.7500 0.9014 0.0986  8 Y 3.36-3.51
Nd: 0.4225 0.5662 0.7694  9 Y 3.41-3.80
Nd: 0.0775 0.2306 0.4338  9 Y 3.41-3.80
Nd: 0.9225 0.7694 0.5662  9 Y 3.41-3.80
Nd: 0.5775 0.4338 0.2306  9 Y 3.41-3.80

Results
Spin magnetization: 0.00 μB/f.u.
Crystal system: monoclinic

=====

B:
The following is a DFT calculation (PBE-GGA) of Nd2Y6Ho after structural relaxation.

abc: 6.9549 10.5058 10.5058
angles: 55.66 70.70 70.70
Closest atoms and distances in Å follow each position.
Sites, in units of the cell vectors:
Nd: 0.5829 0.6674 0.6669  2 Nd 3.48, 12 Y 3.64-3.86
Nd: 0.4171 0.3326 0.3331  2 Nd 3.48, 12 Y 3.64-3.86
Nd: 0.0829 0.6669 0.6674  2 Nd 3.48, 12 Y 3.64-3.86
Nd: 0.9171 0.3331 0.3326  2 Nd 3.48, 12 Y 3.64-3.86
Y: 0.3421 0.9895 0.3265  5 Y 3.28-3.49, 2 Ho 3.63
Y: 0.0082 0.3227 0.6608  5 Y 3.27-3.49, 2 Nd 3.64
Y: 0.1579 0.6735 0.0105  5 Y 3.28-3.49, 2 Ho 3.63
Y: 0.4918 0.3392 0.6773  5 Y 3.27-3.49, 2 Nd 3.64
Y: 0.8274 0.0080 0.3376  5 Y 3.27-3.49, 2 Nd 3.64
Y: 0.6726 0.6624 0.9920  5 Y 3.27-3.49, 2 Nd 3.64
Y: 0.5082 0.6608 0.3227  5 Y 3.27-3.49, 2 Nd 3.64
Y: 0.9918 0.6773 0.3392  5 Y 3.27-3.49, 2 Nd 3.64
Y: 0.8421 0.3265 0.9895  5 Y 3.28-3.49, 2 Ho 3.63
Y: 0.6579 0.0105 0.6735  5 Y 3.28-3.49, 2 Ho 3.63
Y: 0.3274 0.3376 0.0080  5 Y 3.27-3.49, 2 Nd 3.64
Y: 0.1726 0.9920 0.6624  5 Y 3.27-3.49, 2 Nd 3.64
Ho: 0.7500 0.9999 0.0001  2 Ho 3.48, 12 Y 3.63-3.81
Ho: 0.2500 0.0001 0.9999  2 Ho 3.48, 12 Y 3.63-3.81

Results
Spin magnetization: 0.00 μB/f.u.
Crystal system: orthorhombic

=====

Relative energies, in meV per atom, with the most stable structure set to zero: A 28; B 0.

=====

A:
The following is a DFT calculation (PBE-GGA) of NdY3Ho3 after structural relaxation.

abc: 6.1893 6.1893 14.7036
angles: 77.85 77.85 60.00
Closest atoms and distances in Å follow each position.
Sites, in units of the cell vectors:
Ho: 0.8017 0.1337 0.5991  3 Y 3.48-3.49, 9 Ho 3.50-3.58
Ho: 0.4655 0.8017 0.5991  3 Y 3.48-3.49, 9 Ho 3.50-3.58
Ho: 0.5345 0.1983 0.4009  3 Y 3.48-3.49, 9 Ho 3.50-3.58
Ho: 0.1983 0.8663 0.4009  3 Y 3.48-3.49, 9 Ho 3.50-3.58
Ho: 0.8663 0.5345 0.4009  3 Y 3.48-3.49, 9 Ho 3.50-3.58
Ho: 0.1337 0.4655 0.5991  3 Y 3.48-3.49, 9 Ho 3.50-3.58
Y: 0.0679 0.7344 0.7962  3 Ho 3.48-3.49, 2 Nd 3.56, 6 Y 3.57-3.58
Y: 0.5984 0.9321 0.2038  3 Ho 3.48-3.49, 2 Nd 3.56, 6 Y 3.57-3.58
Y: 0.7344 0.4016 0.7962  3 Ho 3.48-3.49, 2 Nd 3.56, 6 Y 3.57-3.58
Y: 0.2656 0.5984 0.2038  3 Ho 3.48-3.49, 2 Nd 3.56, 6 Y 3.57-3.58
Y: 0.4016 0.0679 0.7962  3 Ho 3.48-3.49, 2 Nd 3.56, 6 Y 3.57-3.58
Y: 0.9321 0.2656 0.2038  3 Ho 3.48-3.49, 2 Nd 3.56, 6 Y 3.57-3.58
Nd: 0.3333 0.3333 0.0000  6 Y 3.56, 3 Nd 3.57
Nd: 0.6667 0.6667 0.0000  6 Y 3.56, 3 Nd 3.57

Results
Spin magnetization: 0.00 μB/f.u.
Crystal system: trigonal

=====

B:
The following is a DFT calculation (PBE-GGA) of NdY3Ho3 after structural relaxation.

abc: 5.6871 9.6064 9.6064
angles: 120.00 90.00 90.00
Closest atoms and distances in Å follow each position.
Sites, in units of the cell vectors:
Y: 0.7500 0.9039 0.3789  3 Nd 3.53-3.64, 5 Ho 3.54-3.68, 4 Y 3.55-3.63
Y: 0.7500 0.6211 0.5251  3 Nd 3.53-3.64, 5 Ho 3.54-3.68, 4 Y 3.55-3.63
Y: 0.2500 0.3789 0.4749  3 Nd 3.53-3.64, 5 Ho 3.54-3.68, 4 Y 3.55-3.63
Y: 0.2500 0.5251 0.9039  3 Nd 3.53-3.64, 5 Ho 3.54-3.68, 4 Y 3.55-3.63
Y: 0.2500 0.0961 0.6211  3 Nd 3.53-3.64, 5 Ho 3.54-3.68, 4 Y 3.55-3.63
Y: 0.7500 0.4749 0.0961  3 Nd 3.53-3.64, 5 Ho 3.54-3.68, 4 Y 3.55-3.63
Ho: 0.2500 0.8135 0.7648  6 Ho 3.51-3.58, 5 Y 3.54-3.68, 1 Nd 3.65
Ho: 0.7500 0.1865 0.2352  6 Ho 3.51-3.58, 5 Y 3.54-3.68, 1 Nd 3.65
Ho: 0.7500 0.0488 0.8135  6 Ho 3.51-3.58, 5 Y 3.54-3.68, 1 Nd 3.65
Ho: 0.7500 0.7648 0.9512  6 Ho 3.51-3.58, 5 Y 3.54-3.68, 1 Nd 3.65
Ho: 0.2500 0.9512 0.1865  6 Ho 3.51-3.58, 5 Y 3.54-3.68, 1 Nd 3.65
Ho: 0.2500 0.2352 0.0488  6 Ho 3.51-3.58, 5 Y 3.54-3.68, 1 Nd 3.65
Nd: 0.2500 0.6667 0.3333  9 Y 3.53-3.64, 3 Ho 3.65
Nd: 0.7500 0.3333 0.6667  9 Y 3.53-3.64, 3 Ho 3.65

Results
Spin magnetization: 0.00 μB/f.u.
Crystal system: hexagonal

=====

Relative energies, in meV per atom, with the most stable structure set to zero: A 127; B 0.